First-principles (PBE with a Hubbard U) data for an optimized crystal structure of Ca6WO8, as listed in the Alexandria database.

Lattice parameters (Å, degrees): 6.770 6.770 6.770 60.00 60.00 60.00
Each line ends with the local moment (μB).
Positions (direct):
Ca 0.000 0.500 0.500  0.01
Ca 0.500 0.000 0.000  0.01
Ca 0.500 0.500 0.000  0.01
Ca 0.000 0.000 0.500  0.01
Ca 0.000 0.500 0.000  0.01
Ca 0.500 0.000 0.500  0.01
W 0.000 0.000 0.000  1.82
O 0.750 0.750 0.750  0.00
O 0.250 0.250 0.250  0.00
O 0.779 0.221 0.221  -0.01
O 0.221 0.779 0.779  -0.01
O 0.221 0.221 0.779  -0.01
O 0.779 0.779 0.221  -0.01
O 0.779 0.221 0.779  -0.01
O 0.221 0.779 0.221  -0.01

## Properties
DOS at the Fermi energy in states/eV per cell: 7.88
Symmetry: No. 225
E in eV per atom: -6.66
Spin magnetization in μB/cell: 2.0